Computed, not measured: Ba2LiIn4Hg3 after structural relaxation at the PBE level of DFT.

## Properties
* VASP energy: -2.124 eV per atom
* M_tot: 0.00 μB/f.u.

Cell: 4.8902 4.8902 12.3547 Å, 90.00 90.00 90.00°
Space group P-4m2 (No. 115)
One atom of each set of equivalent atoms:
Ba 0.0000 0.5000 0.2480 x2
Li 0.5000 0.5000 0.0000 x1
In 0.0000 0.0000 0.5000 x1
In 0.0000 0.5000 0.8769 x2
In 0.5000 0.5000 0.5000 x1
Hg 0.0000 0.0000 0.0000 x1
Hg 0.0000 0.5000 0.6428 x2

---

Computed, not measured: BaLiIn2Hg after structural relaxation at the PBE level of DFT.

## Properties
* VASP energy: -2.177 eV per atom
* M_tot: 0.00 μB/f.u.

Cell: 5.2363 5.2363 5.2355 Å, 90.00 90.00 90.00°
Space group P4/mmm (No. 123)
One atom of each set of equivalent atoms:
Ba 0.0000 0.0000 0.0000 x1
Li 0.5000 0.5000 0.5000 x1
In 0.0000 0.5000 0.5000 x2
Hg 0.5000 0.5000 0.0000 x1

---

Computed, not measured: BaLi2InHg2 after structural relaxation at the PBE level of DFT.

## Properties
* VASP energy: -1.922 eV per atom
* M_tot: 0.00 μB/f.u.

Cell: 4.8100 4.8100 7.8558 Å, 90.00 90.00 120.00°
Space group P-3m1 (No. 164)
One atom of each set of equivalent atoms:
Ba 0.0000 0.0000 0.0000 x1
Li 0.3333 0.6667 0.6430 x2
In 0.0000 0.0000 0.5000 x1
Hg 0.3333 0.6667 0.2868 x2

---

Computed, not measured: Ba2MgInHg6 after structural relaxation at the PBE level of DFT.

## Properties
* VASP energy: -1.299 eV per atom
* M_tot: 0.00 μB/f.u.

Cell: 6.1094 7.6201 7.8924 Å, 83.93 67.70 67.67°
Space group P-1 (No. 2)
One atom of each set of equivalent atoms:
Ba 0.0325 0.2314 0.2103 x2
Mg 0.5000 0.0000 0.5000 x1
In 0.5000 0.5000 0.0000 x1
Hg 0.0097 0.2312 0.7510 x2
Hg 0.3575 0.4052 0.4094 x2
Hg 0.4883 0.7840 0.2378 x2

---

Computed, not measured: Ba2MgIn3Hg4 after structural relaxation at the PBE level of DFT.

## Properties
* VASP energy: -1.856 eV per atom
* M_tot: 0.00 μB/f.u.

Cell: 4.9245 4.9245 12.2143 Å, 90.00 90.00 90.00°
Space group P-4m2 (No. 115)
One atom of each set of equivalent atoms:
Ba 0.0000 0.5000 0.2434 x2
Mg 0.0000 0.0000 0.5000 x1
In 0.0000 0.5000 0.8655 x2
In 0.5000 0.5000 0.5000 x1
Hg 0.0000 0.0000 0.0000 x1
Hg 0.0000 0.5000 0.6298 x2
Hg 0.5000 0.5000 0.0000 x1

---

Computed, not measured: BaMgIn2Hg2 after structural relaxation at the PBE level of DFT.

## Properties
* VASP energy: -1.902 eV per atom
* M_tot: 0.00 μB/f.u.

Cell: 5.0241 5.0241 7.9614 Å, 90.00 90.00 120.00°
Space group P-3m1 (No. 164)
One atom of each set of equivalent atoms:
Ba 0.0000 0.0000 0.0000 x1
Mg 0.0000 0.0000 0.5000 x1
In 0.3333 0.6667 0.3106 x2
Hg 0.3333 0.6667 0.7165 x2